one) First-principles (PBEsol) data for a relaxed Tl2ReAs crystal, as listed in Alexandria via LeMat-Bulk.

abc: 11.108 3.123 5.055
angles: 90.00 108.04 90.00
Space group Cm (No. 8)
Asymmetric unit:
Tl (0.000, 0.000, 0.000)
Tl (0.201, 0.000, 0.644)
Re (0.246, 0.500, 0.154)
As (0.409, 0.000, 0.414)

Output
Mass density: 13.34 g cm⁻³
Total magnetic moment: 0.0 Bohr magnetons per cell

***

two) First-principles (PBEsol) data for a relaxed Tl2ReAs crystal, as listed in Alexandria via LeMat-Bulk.

abc: 6.847 6.847 6.847
angles: 90.00 90.00 90.00
Space group Fm-3m (No. 225)
Asymmetric unit:
Tl (0.250, 0.250, 0.250)
Re (0.000, 0.000, 0.000)
As (0.000, 0.000, 0.500)

Output
Mass density: 13.86 g cm⁻³
Total magnetic moment: 0.0 Bohr magnetons per cell

***

Stability verdict: one), ahead by 56.3 kJ/mol of atoms

***

one) First-principles (PBEsol) data for a relaxed YReAs crystal, as listed in Alexandria via LeMat-Bulk.

abc: 4.2934 4.2934 3.5990
angles: 90.00 90.00 120.00
Space group P-6m2 (No. 187)
Asymmetric unit:
Y (0.0000, 0.0000, 0.0000)
Re (0.6667, 0.3333, 0.5000)
As (0.3333, 0.6667, 0.5000)

Output
Mass density: 10.12 g cm⁻³
Total magnetic moment: 0.0 Bohr magnetons per cell

***

two) First-principles (PBEsol) data for a relaxed YReAs crystal, as listed in Alexandria via LeMat-Bulk.

abc: 3.4773 3.4773 5.7114
angles: 90.00 90.00 120.00
Space group P3m1 (No. 156)
Asymmetric unit:
Y (0.0000, 0.0000, 0.0000)
Re (0.6667, 0.3333, 0.3978)
As (0.3333, 0.6667, 0.6458)

Output
Mass density: 9.72 g cm⁻³
Total magnetic moment: 0.0 Bohr magnetons per cell

***

three) First-principles (PBEsol) data for a relaxed YReAs crystal, as listed in Alexandria via LeMat-Bulk.

abc: 6.460 6.460 6.460
angles: 90.00 90.00 90.00
Space group F-43m (No. 216)
Asymmetric unit:
Y (0.000, 0.000, 0.000)
Re (0.250, 0.250, 0.750)
As (0.250, 0.250, 0.250)

Output
Mass density: 8.63 g cm⁻³
Total magnetic moment: 3.0 Bohr magnetons per cell

***

Stability verdict: one), ahead by 24.5 kJ/mol of atoms

***

one) First-principles (PBEsol) data for a relaxed As2RuRh crystal, as listed in Alexandria via LeMat-Bulk.

abc: 6.201 6.201 6.201
angles: 90.00 90.00 90.00
Space group F-43m (No. 216)
Asymmetric unit:
As (0.000, 0.000, 0.000)
As (0.250, 0.250, 0.250)
Ru (0.000, 0.000, 0.500)
Rh (0.250, 0.250, 0.750)

Output
Mass density: 9.86 g cm⁻³
Total magnetic moment: 0.0 Bohr magnetons per cell

***

two) First-principles (PBEsol) data for a relaxed As2RuRh crystal, as listed in Alexandria via LeMat-Bulk.

abc: 4.206 4.206 6.461
angles: 90.00 90.00 90.00
Space group I4/mmm (No. 139)
Asymmetric unit:
As (0.000, 0.500, 0.250)
Ru (0.000, 0.000, 0.000)
Rh (0.000, 0.000, 0.500)

Output
Mass density: 10.28 g cm⁻³
Total magnetic moment: 0.0 Bohr magnetons per cell

***

three) First-principles (PBEsol) data for a relaxed As2RuRh crystal, as listed in Alexandria via LeMat-Bulk.

abc: 2.9663 2.9663 22.8431
angles: 90.00 90.00 120.00
Space group R-3m (No. 166, hexagonal axes)
Asymmetric unit:
As (0.0000, 0.0000, 0.2489)
Ru (0.0000, 0.0000, 0.5000)
Rh (0.0000, 0.0000, 0.0000)

Output
Mass density: 10.13 g cm⁻³
Total magnetic moment: 0.0 Bohr magnetons per cell

***

Stability verdict: three), ahead by 11.6 kJ/mol of atoms

***

one) First-principles (PBEsol) data for a relaxed TcAs2Rh crystal, as listed in Alexandria via LeMat-Bulk.

abc: 3.328 3.328 5.369
angles: 90.00 90.00 90.00
Space group P4mm (No. 99)
Asymmetric unit:
Tc (0.000, 0.000, 0.000)
As (0.000, 0.000, 0.513)
As (0.500, 0.500, 0.170)
Rh (0.500, 0.500, 0.648)

Output
Mass density: 9.79 g cm⁻³
Total magnetic moment: 0.0 Bohr magnetons per cell

***

two) First-principles (PBEsol) data for a relaxed TcAs2Rh crystal, as listed in Alexandria via LeMat-Bulk.

abc: 7.919 2.964 5.105
angles: 90.00 102.58 90.00
Space group C2/m (No. 12)
Asymmetric unit:
Tc (0.000, 0.000, 0.000)
As (0.247, 0.500, 0.239)
Rh (0.000, 0.500, 0.500)

Output
Mass density: 9.96 g cm⁻³
Total magnetic moment: 0.0 Bohr magnetons per cell

***

Stability verdict: one), ahead by 5.8 kJ/mol of atoms